Compound: Tb4GaSnN
Source: Alexandria
Functional: PBE
Structure: relaxed

Structure (CIF):
```
data_Tb4GaSnN
_space_group_name_H-M_alt 'P 1'
_space_group_IT_number 1
_cell_length_a 8.580
_cell_length_b 8.580
_cell_length_c 6.640
_cell_angle_alpha 90.00
_cell_angle_beta 90.00
_cell_angle_gamma 134.51
loop_
_space_group_symop_operation_xyz
'x,y,z'
loop_
_atom_site_label
_atom_site_type_symbol
_atom_site_fract_x
_atom_site_fract_y
_atom_site_fract_z
_atom_site_occupancy
Tb1 Tb 0.000 0.500 0.000 1
Tb2 Tb 0.000 0.500 0.500 1
Tb3 Tb 0.081 0.919 0.750 1
Tb4 Tb 0.410 0.590 0.750 1
Tb5 Tb 0.500 0.000 0.000 1
Tb6 Tb 0.500 0.000 0.500 1
Tb7 Tb 0.590 0.410 0.250 1
Tb8 Tb 0.919 0.081 0.250 1
Ga1 Ga 0.115 0.885 0.250 1
Ga2 Ga 0.885 0.115 0.750 1
Sn1 Sn 0.392 0.608 0.250 1
Sn2 Sn 0.608 0.392 0.750 1
N1 N 0.252 0.748 0.750 1
N2 N 0.748 0.252 0.250 1
```

Computed properties:
As for the total magnetic moment: 0.00 μB per formula unit. The calculation puts the volume at 24.9 Å³/atom. The uncorrected formation energy comes out at -0.88 eV per atom.

Compound: GaSnTe2N
Source: Alexandria
Functional: PBE
Structure: relaxed

Structure (CIF):
```
data_GaSnTe2N
_space_group_name_H-M_alt 'P 1'
_space_group_IT_number 1
_cell_length_a 6.047
_cell_length_b 6.047
_cell_length_c 3.869
_cell_angle_alpha 90.00
_cell_angle_beta 90.00
_cell_angle_gamma 90.00
loop_
_space_group_symop_operation_xyz
'x,y,z'
loop_
_atom_site_label
_atom_site_type_symbol
_atom_site_fract_x
_atom_site_fract_y
_atom_site_fract_z
_atom_site_occupancy
Ga1 Ga 0.000 0.000 0.000 1
Sn1 Sn 0.500 0.500 0.500 1
Te1 Te 0.000 0.500 0.500 1
Te2 Te 0.500 0.000 0.500 1
N1 N 0.500 0.500 0.000 1
```

Computed properties:
As for the total magnetic moment: 0.00 μB per formula unit. The calculation puts the volume at 28.3 Å³/atom. The value obtained for the offset from the most stable computed form is 0.234 eV per atom. The uncorrected formation energy comes out at 0.69 eV per atom.

Compound: GaSnTeN2
Source: Alexandria
Functional: PBE
Structure: relaxed

Structure (CIF):
```
data_GaSnTeN2
_space_group_name_H-M_alt 'P 1'
_space_group_IT_number 1
_cell_length_a 4.197
_cell_length_b 4.197
_cell_length_c 5.627
_cell_angle_alpha 90.00
_cell_angle_beta 90.00
_cell_angle_gamma 90.00
loop_
_space_group_symop_operation_xyz
'x,y,z'
loop_
_atom_site_label
_atom_site_type_symbol
_atom_site_fract_x
_atom_site_fract_y
_atom_site_fract_z
_atom_site_occupancy
Ga1 Ga 0.000 0.000 0.000 1
Sn1 Sn 0.500 0.500 0.500 1
Te1 Te 0.000 0.000 0.500 1
N1 N 0.000 0.500 0.000 1
N2 N 0.500 0.000 0.000 1
```

Computed properties:
As for the total magnetic moment: 2.90 μB per formula unit. The calculation puts the volume at 19.8 Å³/atom. The value obtained for the offset from the most stable computed form is 0.014 eV per atom. The uncorrected formation energy comes out at 1.18 eV per atom.